{"formula": "Sc2AlGe4", "functional": "GGA-PBE", "state": "relaxed", "final_energy_ev_per_cell": -34.213, "dos_at_fermi_per_ev_atom": 0.736, "e_form_ev_per_atom": 0.095, "crystal_system": "tetragonal", "cell": [[-2.427, 2.427, 6.758], [2.427, -2.427, 6.758], [2.427, 2.427, -6.758]], "species": ["Sc", "Sc", "Al", "Ge", "Ge", "Ge", "Ge"], "frac_coords": [[0.116, 0.116, 0.000], [0.884, 0.884, 0.000], [0.500, 0.500, 0.000], [0.000, 0.500, 0.500], [0.318, 0.318, 0.000], [0.500, 0.000, 0.500], [0.682, 0.682, 0.000]]}